# Be2SiH | Alexandria | GGA-PBEsol | optimized geometry
data_Be2SiH
_chemical_formula_sum 'Be4 Si2 H2'
_cell_length_a 5.470
_cell_length_b 5.470
_cell_length_c 5.470
_cell_angle_alpha 137.54
_cell_angle_beta 137.54
_cell_angle_gamma 61.60
_symmetry_space_group_name_H-M 'P 1'
_symmetry_Int_Tables_number 1
loop_
_symmetry_equiv_pos_as_xyz
'x,y,z'
loop_
_atom_site_label
_atom_site_fract_x
_atom_site_fract_y
_atom_site_fract_z
Be1 0.375 0.167 0.292
Be2 0.833 0.125 0.208
Be3 0.875 0.083 0.708
Be4 0.917 0.625 0.792
Si1 0.250 0.750 0.500
Si2 0.500 0.500 0.000
H1 0.000 0.000 0.000
H2 0.750 0.250 0.500
# **VASP energy**: -31.5 eV for the cell shown
# **Spin magnetization**: 0.00 μB per cell
# **SG**: No. 122